# BeSCl2O

A geometry-optimized BeSCl2O structure (PBE, Alexandria via LeMat-Bulk).

Cell lengths 4.496, 4.496, 4.070 Å; angles 90.00, 90.00, 90.00 degrees
Sites, in units of the cell vectors:
S 0.000 0.000 0.500
Be 0.500 0.500 0.500
Cl 0.500 0.000 0.000
Cl 0.000 0.500 0.000
O 0.000 0.000 0.000

Output
ΔE_f (raw) = 0.901 eV/atom

# BaSeCl2

A geometry-optimized BaSeCl2 structure (PBE, Alexandria via LeMat-Bulk).

Cell lengths 5.695, 5.695, 5.166 Å; angles 87.23, 87.23, 48.08 degrees
Sites, in units of the cell vectors:
Cl 0.063 0.063 0.971
Se 0.250 0.250 0.250
Ba 0.750 0.750 0.750
Cl 0.437 0.437 0.529

Output
ΔE_f (raw) = -1.556 eV/atom

# PmTh2P2Rh7

A geometry-optimized PmTh2P2Rh7 structure (PBE, Alexandria via LeMat-Bulk).

Cell lengths 4.038, 4.038, 13.529 Å; angles 84.20, 84.20, 89.56 degrees
Sites, in units of the cell vectors:
Rh 0.372 0.372 0.423
Th 0.109 0.109 0.649
Th 0.891 0.891 0.351
Rh 0.555 0.056 0.834
Rh 0.445 0.944 0.166
Rh 0.628 0.628 0.577
Rh 0.500 0.500 0.000
Rh 0.944 0.445 0.166
Rh 0.056 0.555 0.834
P 0.584 0.584 0.750
Pm 0.000 0.000 0.000
P 0.416 0.416 0.250

# CaLaZr2

A geometry-optimized CaLaZr2 structure (PBE, Alexandria via LeMat-Bulk).

Cell lengths 8.467, 8.467, 6.797 Å; angles 51.47, 51.47, 90.00 degrees
Sites, in units of the cell vectors:
La 0.750 0.250 0.500
Zr 0.121 0.625 0.250
Ca 0.250 0.750 0.500
Zr 0.629 0.125 0.250
Zr 0.875 0.879 0.750
La 0.000 0.000 0.000
Zr 0.375 0.371 0.750
Ca 0.500 0.500 0.000

Computed E_tot (eV/cell) in order:
-12.002 -15.323 -93.150 -42.256